# 1
First-principles (GGA-PBE) data for a relaxed Nd2Sm2CI3Br2 crystal, as listed in the Open Quantum Materials Database.

Geometry as POSCAR:
```
Nd2Sm2CI3Br2
1.0
-8.662 -0.108 -4.013
-9.053 -2.837 -1.068
-0.785 6.527 5.943
Br C I Nd Sm
2 1 3 2 2
Direct
0.831 0.831 0.156
0.169 0.169 0.844
0.500 0.500 0.000
0.170 0.170 0.336
0.500 0.500 0.500
0.830 0.830 0.664
0.998 0.998 0.194
0.002 0.002 0.806
0.636 0.636 0.064
0.364 0.364 0.936
```

Computed properties:
The calculated volume is 32.583 A^3/atom. The energy relative to the lowest polymorph listed for this composition is 0.006 eV/atom. Its raw total energy is -4.863 eV/atom.

***

# 2
First-principles (GGA-PBE) data for a relaxed TlCuPbSeS2 crystal, as listed in the Open Quantum Materials Database.

Geometry as POSCAR:
```
TlCuPbSeS2
1.0
2.001 -6.648 0.000
2.001 6.648 0.000
0.000 0.000 11.543
Cu Pb S Se Tl
2 2 4 2 2
Direct
0.449 0.551 0.250
0.551 0.449 0.750
0.000 0.000 0.000
0.000 0.000 0.500
0.368 0.632 0.078
0.368 0.632 0.422
0.632 0.368 0.578
0.632 0.368 0.922
0.062 0.938 0.250
0.938 0.062 0.750
0.750 0.250 0.250
0.250 0.750 0.750
```

Computed properties:
The calculated volume is 25.597 A^3/atom. Its raw total energy is -3.784 eV/atom.

***

# 3
First-principles (GGA-PBE) data for a relaxed BaNi2Sb2 crystal, as listed in the Open Quantum Materials Database.

Geometry as POSCAR:
```
BaNi2Sb2
1.0
9.303 0.000 0.000
0.000 4.409 0.000
0.000 0.000 11.333
Ba Ni Sb
4 8 8
Direct
0.743 0.750 0.162
0.243 0.750 0.338
0.757 0.250 0.662
0.257 0.250 0.838
0.087 0.750 0.041
0.467 0.250 0.132
0.967 0.250 0.368
0.587 0.750 0.459
0.413 0.250 0.541
0.033 0.750 0.632
0.533 0.750 0.868
0.913 0.250 0.959
0.367 0.750 0.055
0.044 0.250 0.152
0.544 0.250 0.348
0.867 0.750 0.445
0.133 0.250 0.555
0.456 0.750 0.652
0.956 0.750 0.848
0.633 0.250 0.945
```

Computed properties:
The calculated volume is 23.242 A^3/atom. Its raw total energy is -4.770 eV/atom.

***

# 4
First-principles (GGA-PBE) data for a relaxed MgNbCoSb crystal, as listed in the Open Quantum Materials Database.

Geometry as POSCAR:
```
MgNbCoSb
1.0
0.000 3.243 3.243
3.243 0.000 3.243
3.243 3.243 0.000
Co Mg Nb Sb
1 1 1 1
Direct
0.750 0.750 0.750
0.250 0.250 0.250
0.500 0.500 0.500
0.000 0.000 0.000
```

Computed properties:
The calculated volume is 17.059 A^3/atom. The energy relative to the lowest polymorph listed for this composition is 0.116 eV/atom. Its raw total energy is -5.338 eV/atom.

***

# 5
First-principles (GGA-PBE) data for a relaxed ScZn2CoCu4 crystal, as listed in the Open Quantum Materials Database.

Geometry as POSCAR:
```
ScZn2CoCu4
1.0
4.192 0.000 0.000
0.000 4.192 0.000
0.000 0.000 5.981
Co Cu Sc Zn
1 4 1 2
Direct
0.500 0.500 0.000
0.500 0.000 0.230
0.000 0.500 0.230
0.500 0.000 0.770
0.000 0.500 0.770
0.000 0.000 0.500
0.000 0.000 0.000
0.500 0.500 0.500
```

Computed properties:
The calculated volume is 13.140 A^3/atom. Its raw total energy is -3.894 eV/atom. The value obtained for the formation energy is -0.040 eV per atom.

***

# 6
First-principles (GGA-PBE) data for a relaxed ZnFeMoPt crystal, as listed in the Open Quantum Materials Database.

Geometry as POSCAR:
```
ZnFeMoPt
1.0
0.000 3.075 3.075
3.075 0.000 3.075
3.075 3.075 0.000
Fe Mo Pt Zn
1 1 1 1
Direct
0.750 0.750 0.750
0.250 0.250 0.250
0.500 0.500 0.500
0.000 0.000 0.000
```

Computed properties:
The calculated volume is 14.544 A^3/atom. The energy relative to the lowest polymorph listed for this composition is 0.103 eV/atom. Its raw total energy is -6.509 eV/atom. The value obtained for the formation energy is 0.110 eV per atom.

***

# 7
First-principles (GGA-PBE) data for a relaxed SmGd2In3CuNi2 crystal, as listed in the Open Quantum Materials Database.

Geometry as POSCAR:
```
SmGd2In3CuNi2
1.0
-0.522 0.438 3.836
-5.999 -4.494 -0.303
6.799 -2.909 1.257
Cu Gd In Ni Sm
1 2 3 2 1
Direct
0.000 0.001 0.001
0.000 0.000 0.414
0.000 0.414 0.000
0.500 0.745 0.001
0.500 0.254 0.254
0.500 0.001 0.745
0.500 0.667 0.332
0.500 0.332 0.667
0.000 0.585 0.585
```

Computed properties:
The calculated volume is 21.105 A^3/atom. Its raw total energy is -4.594 eV/atom.

***

# 8
First-principles (GGA-PBE) data for a relaxed HoTm2N3 crystal, as listed in the Open Quantum Materials Database.

Geometry as POSCAR:
```
HoTm2N3
1.0
-3.091 -0.128 1.418
2.580 -1.733 1.385
1.895 6.597 4.727
Ho N Tm
1 3 2
Direct
0.000 0.000 0.500
0.000 0.000 0.000
0.333 0.667 0.331
0.667 0.333 0.669
0.667 0.333 0.165
0.333 0.667 0.835
```

Computed properties:
The calculated volume is 13.928 A^3/atom. Its raw total energy is -8.215 eV/atom.